Model A:
# GGA-PBE NaLa2Zn2, optimized geometry
data_NaLa2Zn2
_chemical_formula_sum 'Na1 La2 Zn2'
_cell_length_a 4.7901
_cell_length_b 4.7901
_cell_length_c 7.4967
_cell_angle_alpha 71.37
_cell_angle_beta 71.37
_cell_angle_gamma 90.00
_symmetry_space_group_name_H-M 'P 1'
_symmetry_Int_Tables_number 1
_symmetry_space_group_name_Hall 'P 1'
loop_
_atom_site_label
_atom_site_type_symbol
_atom_site_fract_x
_atom_site_fract_y
_atom_site_fract_z
Na1 Na 0.0000 0.0000 0.0000
Zn1 Zn 0.4072 0.4072 0.1857
Zn2 Zn 0.5928 0.5928 0.8143
La1 La 0.7500 0.2500 0.5000
La2 La 0.2500 0.7500 0.5000
# SG: No. 139
# Calculated density: 4.7 g cm⁻³

=====

Model B:
# GGA-PBE NaLa2Zn2, optimized geometry
data_NaLa2Zn2
_chemical_formula_sum 'Na1 La2 Zn2'
_cell_length_a 3.7413
_cell_length_b 3.7413
_cell_length_c 11.2585
_cell_angle_alpha 80.44
_cell_angle_beta 80.44
_cell_angle_gamma 90.00
_symmetry_space_group_name_H-M 'P 1'
_symmetry_Int_Tables_number 1
_symmetry_space_group_name_Hall 'P 1'
loop_
_atom_site_label
_atom_site_type_symbol
_atom_site_fract_x
_atom_site_fract_y
_atom_site_fract_z
Na1 Na 0.0000 0.0000 0.0000
Zn1 Zn 0.7500 0.2500 0.5000
Zn2 Zn 0.2500 0.7500 0.5000
La1 La 0.3679 0.3679 0.2643
La2 La 0.6321 0.6321 0.7357
# SG: No. 139
# Calculated density: 4.7 g cm⁻³

=====

Model C:
# GGA-PBE NaLa2Zn2, optimized geometry
data_NaLa2Zn2
_chemical_formula_sum 'Na2 La4 Zn4'
_cell_length_a 9.1187
_cell_length_b 9.1187
_cell_length_c 3.4172
_cell_angle_alpha 90.00
_cell_angle_beta 90.00
_cell_angle_gamma 90.00
_symmetry_space_group_name_H-M 'P 1'
_symmetry_Int_Tables_number 1
_symmetry_space_group_name_Hall 'P 1'
loop_
_atom_site_label
_atom_site_type_symbol
_atom_site_fract_x
_atom_site_fract_y
_atom_site_fract_z
Na1 Na 0.0000 0.0000 0.0000
Na2 Na 0.5000 0.5000 0.0000
Zn1 Zn 0.1644 0.6644 0.5000
Zn2 Zn 0.6644 0.8356 0.5000
Zn3 Zn 0.8356 0.3356 0.5000
Zn4 Zn 0.3356 0.1644 0.5000
La1 La 0.3702 0.8702 0.0000
La2 La 0.8702 0.6298 0.0000
La3 La 0.6298 0.1298 0.0000
La4 La 0.1298 0.3702 0.0000
# SG: No. 127
# Calculated density: 5.0 g cm⁻³

=====

What is the stability order? It is model C, model A, model B, from most stable to least stable.

=====

Model A:
# GGA-PBE Na2LaZr, optimized geometry
data_Na2LaZr
_chemical_formula_sum 'Na4 La2 Zr2'
_cell_length_a 8.9873
_cell_length_b 8.9873
_cell_length_c 7.0270
_cell_angle_alpha 50.25
_cell_angle_beta 50.25
_cell_angle_gamma 90.00
_symmetry_space_group_name_H-M 'P 1'
_symmetry_Int_Tables_number 1
_symmetry_space_group_name_Hall 'P 1'
loop_
_atom_site_label
_atom_site_type_symbol
_atom_site_fract_x
_atom_site_fract_y
_atom_site_fract_z
Na1 Na 0.6114 0.1250 0.2500
Na2 Na 0.1386 0.6250 0.2500
Na3 Na 0.3750 0.3886 0.7500
Na4 Na 0.8750 0.8614 0.7500
Zr1 Zr 0.5000 0.5000 0.0000
Zr2 Zr 0.2500 0.7500 0.5000
La1 La 0.0000 0.0000 0.0000
La2 La 0.7500 0.2500 0.5000
# SG: No. 122
# Calculated density: 3.8 g cm⁻³

=====

Model B:
# GGA-PBE Na2LaZr, optimized geometry
data_Na2LaZr
_chemical_formula_sum 'Na2 La1 Zr1'
_cell_length_a 5.5527
_cell_length_b 5.5527
_cell_length_c 5.5527
_cell_angle_alpha 60.00
_cell_angle_beta 60.00
_cell_angle_gamma 60.00
_symmetry_space_group_name_H-M 'P 1'
_symmetry_Int_Tables_number 1
_symmetry_space_group_name_Hall 'P 1'
loop_
_atom_site_label
_atom_site_type_symbol
_atom_site_fract_x
_atom_site_fract_y
_atom_site_fract_z
Na1 Na 0.2500 0.2500 0.2500
Na2 Na 0.7500 0.7500 0.7500
Zr1 Zr 0.0000 0.0000 0.0000
La1 La 0.5000 0.5000 0.5000
# SG: No. 225
# Calculated density: 3.8 g cm⁻³

=====

What is the stability order? It is model B, model A, from most stable to least stable.

=====

Model A:
# GGA-PBE LaNb3Ni, optimized geometry
data_LaNb3Ni
_chemical_formula_sum 'La1 Nb3 Ni1'
_cell_length_a 4.7993
_cell_length_b 4.7993
_cell_length_c 4.7993
_cell_angle_alpha 90.00
_cell_angle_beta 90.00
_cell_angle_gamma 90.00
_symmetry_space_group_name_H-M 'P 1'
_symmetry_Int_Tables_number 1
_symmetry_space_group_name_Hall 'P 1'
loop_
_atom_site_label
_atom_site_type_symbol
_atom_site_fract_x
_atom_site_fract_y
_atom_site_fract_z
Ni1 Ni 0.0000 0.0000 0.0000
Nb1 Nb 0.0000 0.5000 0.0000
Nb2 Nb 0.0000 0.0000 0.5000
Nb3 Nb 0.5000 0.0000 0.0000
La1 La 0.5000 0.5000 0.5000
# SG: No. 221
# Calculated density: 7.2 g cm⁻³

=====

Model B:
# GGA-PBE LaNb3Ni, optimized geometry
data_LaNb3Ni
_chemical_formula_sum 'La1 Nb3 Ni1'
_cell_length_a 4.8398
_cell_length_b 4.8398
_cell_length_c 4.8398
_cell_angle_alpha 90.00
_cell_angle_beta 90.00
_cell_angle_gamma 90.00
_symmetry_space_group_name_H-M 'P 1'
_symmetry_Int_Tables_number 1
_symmetry_space_group_name_Hall 'P 1'
loop_
_atom_site_label
_atom_site_type_symbol
_atom_site_fract_x
_atom_site_fract_y
_atom_site_fract_z
Ni1 Ni 0.5000 0.5000 0.5000
Nb1 Nb 0.0000 0.5000 0.0000
Nb2 Nb 0.0000 0.0000 0.5000
Nb3 Nb 0.5000 0.0000 0.0000
La1 La 0.0000 0.0000 0.0000
# SG: No. 221
# Calculated density: 7.0 g cm⁻³

=====

What is the stability order? It is model A, model B, from most stable to least stable.